Record 1
VASP calculation (GGA-PBE) on an optimized crystal structure of Ac2IrRu.

Its formation energy is -0.14 eV/atom.

abc: 3.753 3.753 7.204
angles: 90.00 90.00 90.00
Fractional positions:
Ac1 0.000 0.000 0.247
Ac2 0.000 0.000 0.753
Ir1 0.500 0.500 0.000
Ru1 0.500 0.500 0.500

***

Record 2
VASP calculation (GGA-PBE) on an optimized crystal structure of LiTmB12.

Its formation energy is -0.24 eV/atom.

abc: 4.110 4.110 8.223
angles: 90.00 90.00 90.00
Fractional positions:
Li1 0.000 0.000 0.000
Tm1 0.000 0.000 0.500
B1 0.200 0.500 0.253
B2 0.200 0.500 0.747
B3 0.500 0.200 0.253
B4 0.500 0.200 0.747
B5 0.500 0.500 0.101
B6 0.500 0.500 0.401
B7 0.500 0.500 0.599
B8 0.500 0.500 0.899
B9 0.500 0.800 0.253
B10 0.500 0.800 0.747
B11 0.800 0.500 0.253
B12 0.800 0.500 0.747

***

Record 3
VASP calculation (GGA-PBE) on an optimized crystal structure of Sr2Ga2Br.

The uncorrected formation energy is -15.86 kcal/mol of atoms.

abc: 8.864 8.864 4.258
angles: 90.00 90.00 90.00
Fractional positions:
Sr1 0.197 0.303 0.000
Sr2 0.303 0.803 0.000
Sr3 0.697 0.197 0.000
Sr4 0.803 0.697 0.000
Ga1 0.096 0.596 0.500
Ga2 0.404 0.096 0.500
Ga3 0.596 0.904 0.500
Ga4 0.904 0.404 0.500
Br1 0.000 0.000 0.000
Br2 0.500 0.500 0.000

***

Record 4
VASP calculation (GGA-PBE) on an optimized crystal structure of Pa2AlCo5B2.

Its formation energy is -0.45 eV/atom.

abc: 9.031 9.031 3.123
angles: 90.00 90.00 90.00
Fractional positions:
Pa1 0.179 0.321 0.000
Pa2 0.321 0.821 0.000
Pa3 0.679 0.179 0.000
Pa4 0.821 0.679 0.000
Al1 0.000 0.000 0.000
Al2 0.500 0.500 0.000
Co1 0.000 0.500 0.500
Co2 0.069 0.772 0.500
Co3 0.228 0.069 0.500
Co4 0.272 0.569 0.500
Co5 0.431 0.272 0.500
Co6 0.500 0.000 0.500
Co7 0.569 0.728 0.500
Co8 0.728 0.431 0.500
Co9 0.772 0.931 0.500
Co10 0.931 0.228 0.500
B1 0.116 0.616 0.000
B2 0.384 0.116 0.000
B3 0.616 0.884 0.000
B4 0.884 0.384 0.000

***

Record 5
VASP calculation (GGA-PBE) on an optimized crystal structure of Mg2CoPt4.

Its formation energy is 0.32 eV/atom.

abc: 7.392 7.392 7.392
angles: 144.20 144.20 51.53
Fractional positions:
Mg1 0.125 0.125 0.000
Mg2 0.875 0.875 0.000
Co1 0.500 0.500 0.000
Pt1 0.000 0.500 0.500
Pt2 0.318 0.318 0.000
Pt3 0.500 0.000 0.500
Pt4 0.682 0.682 0.000

***

Record 6
VASP calculation (GGA-PBE) on an optimized crystal structure of CdSb2Pt.

The uncorrected formation energy is -2.89 kcal/mol of atoms.

abc: 4.751 5.132 5.132
angles: 58.41 90.00 90.00
Fractional positions:
Cd1 0.000 0.000 0.000
Sb1 0.000 0.324 0.324
Sb2 0.500 0.798 0.798
Pt1 0.500 0.176 0.176

***

Record 7
VASP calculation (GGA-PBE) on an optimized crystal structure of TbPr2Th.

As for the energy above the lowest structure with this stoichiometry: 0.173 eV/atom. Its formation energy is 0.21 eV/atom.

abc: 5.781 5.781 5.781
angles: 60.00 60.00 60.00
Fractional positions:
Tb1 0.000 0.000 0.000
Pr1 0.250 0.250 0.250
Pr2 0.750 0.750 0.750
Th1 0.500 0.500 0.500

***

Record 8
VASP calculation (GGA-PBE) on an optimized crystal structure of Zn3CdS.

As for the energy above the lowest structure with this stoichiometry: 0.280 eV/atom. The uncorrected formation energy is 14.02 kcal/mol of atoms.

abc: 5.008 5.008 5.008
angles: 90.00 90.00 90.00
Fractional positions:
Zn1 0.000 0.000 0.500
Zn2 0.000 0.500 0.000
Zn3 0.500 0.000 0.000
Cd1 0.000 0.000 0.000
S1 0.500 0.500 0.500

***

Record 9
VASP calculation (GGA-PBE) on an optimized crystal structure of HgAuO3.

The uncorrected formation energy is 1.72 kcal/mol of atoms.

abc: 6.054 6.054 6.054
angles: 56.41 56.41 56.41
Fractional positions:
Hg1 0.128 0.128 0.128
Hg2 0.872 0.872 0.872
Au1 0.340 0.340 0.340
Au2 0.660 0.660 0.660
O1 0.061 0.453 0.706
O2 0.294 0.939 0.547
O3 0.453 0.706 0.061
O4 0.547 0.294 0.939
O5 0.706 0.061 0.453
O6 0.939 0.547 0.294

***

Record 10
VASP calculation (GGA-PBE) on an optimized crystal structure of La2Tb3Y5.

Its formation energy is 0.18 eV/atom.

abc: 9.842 9.842 9.293
angles: 108.34 108.34 113.94
Fractional positions:
La1 0.019 0.272 0.045
La2 0.272 0.019 0.545
La3 0.728 0.981 0.455
La4 0.981 0.728 0.955
Tb1 0.225 0.474 0.453
Tb2 0.276 0.724 0.250
Tb3 0.474 0.225 0.953
Tb4 0.526 0.775 0.047
Tb5 0.724 0.276 0.750
Tb6 0.775 0.526 0.547
Y1 0.024 0.976 0.750
Y2 0.136 0.383 0.761
Y3 0.226 0.774 0.750
Y4 0.383 0.136 0.261
Y5 0.474 0.526 0.250
Y6 0.526 0.474 0.750
Y7 0.617 0.864 0.739
Y8 0.774 0.226 0.250
Y9 0.864 0.617 0.239
Y10 0.976 0.024 0.250

***

Record 11
VASP calculation (GGA-PBE) on an optimized crystal structure of Pr3SmAg2.

As for the energy above the lowest structure with this stoichiometry: 0.061 eV/atom. Its formation energy is -0.09 eV/atom.

abc: 8.908 8.908 3.723
angles: 90.00 90.00 143.51
Fractional positions:
Pr1 0.000 0.000 0.000
Pr2 0.321 0.679 0.000
Pr3 0.679 0.321 0.000
Sm1 0.500 0.500 0.500
Ag1 0.155 0.845 0.500
Ag2 0.845 0.155 0.500

***

Record 12
VASP calculation (GGA-PBE) on an optimized crystal structure of CaAg2Ir.

As for the energy above the lowest structure with this stoichiometry: 0.036 eV/atom. Its formation energy is 0.05 eV/atom.

abc: 5.212 5.212 5.212
angles: 132.45 132.45 69.52
Fractional positions:
Ca1 0.000 0.000 0.000
Ag1 0.250 0.750 0.500
Ag2 0.750 0.250 0.500
Ir1 0.500 0.500 0.000

***

What are the theoretical density values for these records? In order: 12.2; 3.7; 3.9; 10.5; 10.7; 8.6; 8.2; 4.5; 10.3; 5.9; 7.5; 9.8 g/cm3.